ZrFeOs2 | GGA-PBE | optimized geometry

Geometry as CIF:
```
data_ZrFeOs2
_cell_length_a 5.2485
_cell_length_b 5.2485
_cell_length_c 5.2485
_cell_angle_alpha 145.18
_cell_angle_beta 130.25
_cell_angle_gamma 62.15
_space_group_name_H-M_alt 'P 1'
_space_group_IT_number 1
_space_group_name_Hall 'P 1'
loop_
_atom_site_label
_atom_site_type_symbol
_atom_site_fract_x
_atom_site_fract_y
_atom_site_fract_z
Zr1 Zr 0.0000 0.0000 0.0000
Fe1 Fe 0.7448 0.2448 0.5000
Os1 Os 0.2614 0.7614 0.5000
Os2 Os 0.5096 0.5096 0.0000
```

Output
energy of formation = 0.078 eV per atom
excess energy over the best structure of this formula in the dataset = 82.3 meV per atom
theoretical density = 14.052 g cm⁻³

Be2FeTe | GGA-PBE | optimized geometry

Geometry as CIF:
```
data_Be2FeTe
_cell_length_a 3.7864
_cell_length_b 3.7864
_cell_length_c 3.5300
_cell_angle_alpha 90.00
_cell_angle_beta 90.00
_cell_angle_gamma 90.00
_space_group_name_H-M_alt 'P 1'
_space_group_IT_number 1
_space_group_name_Hall 'P 1'
loop_
_atom_site_label
_atom_site_type_symbol
_atom_site_fract_x
_atom_site_fract_y
_atom_site_fract_z
Be1 Be 0.0000 0.5000 0.0000
Be2 Be 0.5000 0.0000 0.0000
Fe1 Fe 0.0000 0.0000 0.5000
Te1 Te 0.5000 0.5000 0.5000
```

Output
uncorrected formation energy = 0.494 eV per atom
theoretical density = 6.611 g cm⁻³

CsPmSeF2 | GGA-PBE | optimized geometry

Geometry as CIF:
```
data_CsPmSeF2
_cell_length_a 7.8805
_cell_length_b 7.8805
_cell_length_c 8.3889
_cell_angle_alpha 90.00
_cell_angle_beta 90.00
_cell_angle_gamma 148.85
_space_group_name_H-M_alt 'P 1'
_space_group_IT_number 1
_space_group_name_Hall 'P 1'
loop_
_atom_site_label
_atom_site_type_symbol
_atom_site_fract_x
_atom_site_fract_y
_atom_site_fract_z
Cs1 Cs 0.2337 0.7663 0.7500
Cs2 Cs 0.7663 0.2337 0.2500
Pm1 Pm 0.5000 0.5000 0.0000
Pm2 Pm 0.5000 0.5000 0.5000
Se1 Se 0.0251 0.9749 0.2500
Se2 Se 0.9749 0.0251 0.7500
F1 F 0.3559 0.6441 0.0415
F2 F 0.3559 0.6441 0.4585
F3 F 0.6441 0.3559 0.5415
F4 F 0.6441 0.3559 0.9585
```

Output
uncorrected formation energy = -2.839 eV per atom
theoretical density = 4.866 g cm⁻³

AgMoIr2 | GGA-PBE | optimized geometry

Geometry as CIF:
```
data_AgMoIr2
_cell_length_a 4.7116
_cell_length_b 4.7116
_cell_length_c 2.8363
_cell_angle_alpha 90.00
_cell_angle_beta 90.00
_cell_angle_gamma 90.00
_space_group_name_H-M_alt 'P 1'
_space_group_IT_number 1
_space_group_name_Hall 'P 1'
loop_
_atom_site_label
_atom_site_type_symbol
_atom_site_fract_x
_atom_site_fract_y
_atom_site_fract_z
Ag1 Ag 0.0000 0.0000 0.0000
Mo1 Mo 0.5000 0.5000 0.0000
Ir1 Ir 0.0000 0.5000 0.5000
Ir2 Ir 0.5000 0.0000 0.5000
```

Output
energy of formation = 0.429 eV per atom
excess energy over the best structure of this formula in the dataset = 418.3 meV per atom
theoretical density = 15.514 g cm⁻³